Density functional theory data (GGA-PBEsol) for LaNi4Rh after structural relaxation.

Lattice parameters (Å, degrees): 3.945 4.871 5.068 61.28 90.00 90.00
Atoms (fractional coordinates):
Ni 0.000 0.178 0.644
Ni 0.000 0.822 0.356
Ni 0.500 0.000 0.500
La 0.000 0.500 0.000
Rh 0.500 0.000 0.000
Ni 0.500 0.500 0.500

Output
Raw total energy, eV/atom: -6.654
Formation energy, eV per atom: -0.301
Symmetry: Cmmm (65)

=====

Density functional theory data (GGA-PBEsol) for AgSbOF2 after structural relaxation.

Lattice parameters (Å, degrees): 4.220 4.396 4.396 90.00 90.00 90.00
Atoms (fractional coordinates):
Ag 0.500 0.500 0.500
O 0.500 0.000 0.000
Sb 0.000 0.000 0.000
F 0.000 0.000 0.500
F 0.000 0.500 0.000

Output
Raw total energy, eV/atom: -4.517
Symmetry: P4/mmm (123)

=====

Density functional theory data (GGA-PBEsol) for BaIn2As after structural relaxation.

Lattice parameters (Å, degrees): 4.374 4.373 6.153 90.00 90.01 90.00
Atoms (fractional coordinates):
In 0.125 0.000 0.162
In 0.624 0.500 0.162
Ba 0.125 0.500 0.690
As 0.626 0.000 0.487

Output
Raw total energy, eV/atom: -3.846
Formation energy, eV per atom: -0.541
Symmetry: P4mm (99)

=====

Density functional theory data (GGA-PBEsol) for MgCoPb after structural relaxation.

Lattice parameters (Å, degrees): 4.450 4.450 4.450 60.00 60.00 60.00
Site moments in Bohr magnetons follow the coordinates.
Atoms (fractional coordinates):
Pb 0.750 0.750 0.750  -0.03
Co 0.000 0.000 0.000  1.17
Mg 0.500 0.500 0.500  0.00

Output
Polymorph energy (0 for the lowest one), meV per atom: 0
Raw total energy, eV/atom: -3.930
Formation energy, eV per atom: 0.554
Symmetry: F-43m (216)

=====

Density functional theory data (GGA-PBEsol) for P2OsAuS after structural relaxation.

Lattice parameters (Å, degrees): 4.412 4.412 5.009 90.00 90.00 90.00
Atoms (fractional coordinates):
Au 0.500 0.500 0.500
P 0.500 0.000 0.000
P 0.000 0.500 0.000
S 0.000 0.000 0.500
Os 0.000 0.000 0.000

Output
Raw total energy, eV/atom: -5.594
Symmetry: P4/mmm (123)

=====

Density functional theory data (GGA-PBEsol) for BaBeSe2 after structural relaxation.

Lattice parameters (Å, degrees): 5.110 5.110 5.110 60.00 60.00 60.00
Atoms (fractional coordinates):
Be 0.250 0.250 0.250
Se 0.750 0.750 0.750
Ba 0.500 0.500 0.500
Se 0.000 0.000 0.000

Output
Raw total energy, eV/atom: -3.540
Symmetry: F-43m (216)

=====

Density functional theory data (GGA-PBEsol) for CuNi2 after structural relaxation.

Lattice parameters (Å, degrees): 2.453 4.755 5.876 104.87 90.00 104.95
Site moments in Bohr magnetons follow the coordinates.
Atoms (fractional coordinates):
Ni 0.359 0.718 0.474  0.48
Ni 0.699 0.398 0.141  0.43
Cu 0.027 0.055 0.806  0.01
Cu 0.973 0.945 0.194  0.01
Ni 0.301 0.602 0.859  0.43
Ni 0.641 0.282 0.526  0.48

Output
Raw total energy, eV/atom: -5.501
Formation energy, eV per atom: 0.048
Symmetry: C2/m (12)

=====

Density functional theory data (GGA-PBEsol) for SrCr2Ni after structural relaxation.

Lattice parameters (Å, degrees): 4.641 4.641 4.641 60.00 60.00 60.00
Site moments in Bohr magnetons follow the coordinates.
Atoms (fractional coordinates):
Sr 0.500 0.500 0.500  0.12
Cr 0.750 0.750 0.750  3.44
Cr 0.250 0.250 0.250  3.44
Ni 0.000 0.000 0.000  0.47

Output
Polymorph energy (0 for the lowest one), meV per atom: 222
Raw total energy, eV/atom: -6.001
Formation energy, eV per atom: 1.120
Symmetry: Fm-3m (225)

=====

Number 1: size of the total moment 0.01 μB/cell. Number 2: size of the total moment 0.00 μB/cell. Number 3: size of the total moment 0.00 μB/cell. Number 4: size of the total moment 1.17 μB/cell. Number 5: size of the total moment 0.00 μB/cell. Number 6: size of the total moment 0.00 μB/cell. Number 7: size of the total moment 1.74 μB/cell. Number 8: size of the total moment 8.09 μB/cell.